! Ce2GdO (PBE, optimized geometry); values from VASP
&SYSTEM
  ibrav = 0, nat = 4, ntyp = 3
/
ATOMIC_SPECIES
Gd 157.25 Gd.upf
O 16.00 O.upf
Ce 140.12 Ce.upf
CELL_PARAMETERS angstrom
-2.269 -1.753 1.951
0.979 -1.279 3.071
-3.007 6.910 5.792
ATOMIC_POSITIONS crystal
Gd 0.000 0.000 0.000
O 0.500 0.500 0.500
Ce 0.115 0.115 0.654
Ce 0.885 0.885 0.346
! - density of states at the Fermi level (states/eV per atom) = 2.3229
! - energy (eV/atom) = -8.857